The following is a PBE with a Hubbard U calculation of a relaxed PaPbWO6 crystal, from Alexandria via LeMat-Bulk.

The space group is P-31c (No. 163) and the conventional cell measures 5.7175, 5.7175 and 10.4043 Å, with angles of 90.00, 90.00 and 120.00 degrees. Symmetry generates all atoms from Pa at (0.3333, 0.6667, 0.2500), Pb at (0.0000, 0.0000, 0.0000), W at (0.3333, 0.6667, 0.7500) and O at (0.0216, 0.3807, 0.6470).

As for the theoretical density: 8.10 Mg/m³. The calculation puts the total DFT energy (no corrections) at -8.0025 eV/atom.